Material: K3ScI6
Method: DFT, PBE
State: optimized geometry

Cell lengths 12.4324, 12.4324, 12.4324 Å; angles 90.00, 90.00, 90.00 degrees
Space group Fm-3m (No. 225)
Symmetry-distinct sites (fractional):
K: 0.0000 0.0000 0.0000 x4
K: 0.2500 0.2500 0.2500 x8
Sc: 0.0000 0.0000 0.5000 x4
I: 0.0000 0.0000 0.2681 x24

Values from the calculation:
- crystal system = cubic
- formation energy (no corrections) (meV per atom) = -1303